[1]
DFT (GGA-PBE) results for an optimized crystal structure of HfTi3Sn.

a b c (Å): 3.855 3.855 13.439
angles (deg): 90.00 90.00 90.00
Space group I4mm (No. 107)
Inequivalent atoms, fractional coordinates:
Hf 0.000 0.000 0.000 [2 per cell]
Ti 0.000 0.000 0.416 [2 per cell]
Ti 0.000 0.500 0.280 [4 per cell]
Sn 0.000 0.000 0.617 [2 per cell]

Values from the calculation:
- Total DFT energy (no corrections): -7.53 eV per atom
- Size of the total moment: 0.001 Bohr magnetons per cell
- Distance to the lowest polymorph of the same formula: 0 meV/atom

***

[2]
DFT (GGA-PBE) results for an optimized crystal structure of Hf2Ti3Sn3.

a b c (Å): 3.857 9.889 17.488
angles (deg): 90.00 90.00 90.00
Space group Cmcm (No. 63)
Inequivalent atoms, fractional coordinates:
Hf 0.000 0.242 0.150 [8 per cell]
Ti 0.000 0.348 0.533 [8 per cell]
Ti 0.000 0.419 0.750 [4 per cell]
Sn 0.000 0.049 0.583 [8 per cell]
Sn 0.000 0.124 0.750 [4 per cell]

Values from the calculation:
- Total DFT energy (no corrections): -7.07 eV per atom
- Size of the total moment: 2.194 Bohr magnetons per cell

***

[3]
DFT (GGA-PBE) results for an optimized crystal structure of HfTi6Sn.

a b c (Å): 4.680 6.370 9.835
angles (deg): 90.00 90.00 90.00
Space group Amm2 (No. 38)
Inequivalent atoms, fractional coordinates:
Hf 0.000 0.000 0.000 [2 per cell]
Ti 0.000 0.000 0.509 [2 per cell]
Ti 0.000 0.221 0.257 [4 per cell]
Ti 0.500 0.000 0.199 [2 per cell]
Ti 0.500 0.219 0.467 [4 per cell]
Sn 0.500 0.000 0.728 [2 per cell]

Values from the calculation:
- Total DFT energy (no corrections): -7.75 eV per atom
- Size of the total moment: 0.003 Bohr magnetons per cell